DFT (PBE-GGA) results for Na3Th3BiTe8 after structural relaxation.

It has space group R-3m (No. 166, hexagonal axes), with a = 8.8973 Å, b = 8.8973 Å, c = 23.1337 Å, α = 90.00°, β = 90.00° and γ = 120.00°. The distinct sites, in fractional coordinates, are Na at (0.0000, 0.5000, 0.0000), Th at (0.0000, 0.5000, 0.5000), Bi at (0.0000, 0.0000, 0.5000), Te at (0.0000, 0.0000, 0.2480) and Te at (0.0020, 0.5010, 0.7530).

The formation energy (no corrections) is -0.95 eV per atom. The value obtained for the density of states at the Fermi level is 0.609 states/eV/atom. The calculation puts the volume at 1585.9 Å³/cell.

***

DFT (PBE-GGA) results for Na3ThBi2Te6 after structural relaxation.

It has space group C2/m (No. 12), with a = 7.9293 Å, b = 13.9283 Å, c = 7.9071 Å, α = 90.00°, β = 109.74° and γ = 90.00°. The distinct sites, in fractional coordinates, are Na at (0.0000, 0.0000, 0.0000), Na at (0.0000, 0.3266, 0.0000), Th at (0.0000, 0.5000, 0.5000), Bi at (0.0000, 0.1641, 0.5000), Te at (0.2438, 0.3359, 0.7348) and Te at (0.2482, 0.5000, 0.2603).

The formation energy (no corrections) is -0.71 eV per atom. The value obtained for the density of states at the Fermi level is 0.564 states/eV/atom. The calculation puts the volume at 822.0 Å³/cell.

***

DFT (PBE-GGA) results for Na3TiBi2Te6 after structural relaxation.

It has space group C2/m (No. 12), with a = 7.6441 Å, b = 13.2693 Å, c = 7.9268 Å, α = 90.00°, β = 108.94° and γ = 90.00°. The distinct sites, in fractional coordinates, are Na at (0.0000, 0.0000, 0.0000), Na at (0.0000, 0.3184, 0.0000), Ti at (0.0000, 0.5000, 0.5000), Bi at (0.0000, 0.1644, 0.5000), Te at (0.2272, 0.3467, 0.7234) and Te at (0.2281, 0.5000, 0.2735).

The formation energy (no corrections) is -0.60 eV per atom. The value obtained for the density of states at the Fermi level is 0.497 states/eV/atom. The calculation puts the volume at 760.5 Å³/cell.

***

DFT (PBE-GGA) results for NaTiBi2Te after structural relaxation.

It has space group P4/mmm (No. 123), with a = 5.4105 Å, b = 5.4105 Å, c = 5.2575 Å, α = 90.00°, β = 90.00° and γ = 90.00°. The distinct sites, in fractional coordinates, are Na at (0.0000, 0.0000, 0.0000), Ti at (0.0000, 0.0000, 0.5000), Bi at (0.0000, 0.5000, 0.0000) and Te at (0.5000, 0.5000, 0.5000).

The formation energy (no corrections) is 0.96 eV per atom. The value obtained for the density of states at the Fermi level is 1.230 states/eV/atom. The calculation puts the volume at 153.9 Å³/cell.

***

DFT (PBE-GGA) results for Na3TiBi3Te8 after structural relaxation.

It has space group R-3m (No. 166, hexagonal axes), with a = 8.8152 Å, b = 8.8152 Å, c = 23.2789 Å, α = 90.00°, β = 90.00° and γ = 120.00°. The distinct sites, in fractional coordinates, are Na at (0.0000, 0.5000, 0.0000), Ti at (0.0000, 0.0000, 0.5000), Bi at (0.0000, 0.5000, 0.5000), Te at (0.0000, 0.0000, 0.2467) and Te at (0.0320, 0.5160, 0.2378).

The formation energy (no corrections) is -0.54 eV per atom. The calculation puts the volume at 1566.7 Å³/cell.

***

DFT (PBE-GGA) results for Na3Tm2BiTe6 after structural relaxation.

It has space group C2/m (No. 12), with a = 7.6813 Å, b = 13.3092 Å, c = 7.9970 Å, α = 90.00°, β = 108.71° and γ = 90.00°. The distinct sites, in fractional coordinates, are Na at (0.0000, 0.0000, 0.0000), Na at (0.0000, 0.3396, 0.0000), Tm at (0.0000, 0.1677, 0.5000), Bi at (0.0000, 0.5000, 0.5000), Te at (0.2352, 0.0000, 0.7293) and Te at (0.2480, 0.3297, 0.7317).

The formation energy (no corrections) is -1.04 eV per atom. The value obtained for the density of states at the Fermi level is 0.000 states/eV/atom. The calculation puts the volume at 774.3 Å³/cell.

***

DFT (PBE-GGA) results for Na4Tm3BiTe8 after structural relaxation.

It has space group R-3m (No. 166, hexagonal axes), with a = 8.8445 Å, b = 8.8445 Å, c = 22.7329 Å, α = 90.00°, β = 90.00° and γ = 120.00°. The distinct sites, in fractional coordinates, are Na at (0.0000, 0.0000, 0.0000), Na at (0.0000, 0.5000, 0.0000), Tm at (0.0000, 0.5000, 0.5000), Bi at (0.0000, 0.0000, 0.5000), Te at (0.0000, 0.0000, 0.2425) and Te at (0.0066, 0.5033, 0.7563).

The formation energy (no corrections) is -1.10 eV per atom. The calculation puts the volume at 1540.1 Å³/cell.

***

DFT (PBE-GGA) results for Na3TmBi3Te8 after structural relaxation.

It has space group C2/m (No. 12), with a = 15.4063 Å, b = 8.8373 Å, c = 9.3469 Å, α = 90.00°, β = 123.54° and γ = 90.00°. The distinct sites, in fractional coordinates, are Na at (0.0000, 0.0000, 0.0000), Na at (0.2500, 0.2500, 0.0000), Tm at (0.0000, 0.0000, 0.5000), Bi at (0.0000, 0.5000, 0.5000), Bi at (0.2500, 0.2500, 0.5000), Te at (0.0043, 0.2428, 0.2701), Te at (0.2383, 0.0000, 0.7296) and Te at (0.2458, 0.5000, 0.7375).

The formation energy (no corrections) is -0.61 eV per atom. The value obtained for the density of states at the Fermi level is 1.025 states/eV/atom. The calculation puts the volume at 1060.8 Å³/cell.

***

DFT (PBE-GGA) results for Na2TmBiTe4 after structural relaxation.

It has space group P2/m (No. 10), with a = 7.7515 Å, b = 4.4358 Å, c = 8.0143 Å, α = 90.00°, β = 108.55° and γ = 90.00°. The distinct sites, in fractional coordinates, are Na at (0.0000, 0.0000, 0.0000), Na at (0.5000, 0.5000, 0.0000), Tm at (0.0000, 0.5000, 0.5000), Bi at (0.5000, 0.0000, 0.5000), Te at (0.2369, 0.0000, 0.7294) and Te at (0.2475, 0.5000, 0.2657).

The formation energy (no corrections) is -0.91 eV per atom. The calculation puts the volume at 261.3 Å³/cell.

***

DFT (PBE-GGA) results for Na2UBiTe4 after structural relaxation.

It has space group P2/m (No. 10), with a = 7.8634 Å, b = 4.5311 Å, c = 7.9823 Å, α = 90.00°, β = 109.08° and γ = 90.00°. The distinct sites, in fractional coordinates, are Na at (0.0000, 0.0000, 0.0000), Na at (0.5000, 0.5000, 0.0000), U at (0.0000, 0.5000, 0.5000), Bi at (0.5000, 0.0000, 0.5000), Te at (0.2425, 0.0000, 0.7363) and Te at (0.2522, 0.5000, 0.2630).

The formation energy (no corrections) is -0.64 eV per atom. The value obtained for the density of states at the Fermi level is 0.507 states/eV/atom. The calculation puts the volume at 268.8 Å³/cell.

***

DFT (PBE-GGA) results for Na3Y2BiTe6 after structural relaxation.

It has space group C2/m (No. 12), with a = 7.7302 Å, b = 13.3938 Å, c = 8.0076 Å, α = 90.00°, β = 108.79° and γ = 90.00°. The distinct sites, in fractional coordinates, are Na at (0.0000, 0.0000, 0.0000), Na at (0.0000, 0.3387, 0.0000), Y at (0.0000, 0.1675, 0.5000), Bi at (0.0000, 0.5000, 0.5000), Te at (0.2392, 0.0000, 0.7318) and Te at (0.2470, 0.3313, 0.7339).

The formation energy (no corrections) is -1.06 eV per atom. The value obtained for the density of states at the Fermi level is 0.000 states/eV/atom. The calculation puts the volume at 784.9 Å³/cell.

***

DFT (PBE-GGA) results for Na4Y3BiTe8 after structural relaxation.

It has space group R-3m (No. 166, hexagonal axes), with a = 8.9117 Å, b = 8.9117 Å, c = 22.7368 Å, α = 90.00°, β = 90.00° and γ = 120.00°. The distinct sites, in fractional coordinates, are Na at (0.0000, 0.0000, 0.0000), Na at (0.0000, 0.5000, 0.0000), Y at (0.0000, 0.5000, 0.5000), Bi at (0.0000, 0.0000, 0.5000), Te at (0.0000, 0.0000, 0.2437) and Te at (0.0038, 0.5019, 0.7555).

The formation energy (no corrections) is -1.13 eV per atom. The calculation puts the volume at 1563.8 Å³/cell.

***

DFT (PBE-GGA) results for Na2YBiTe4 after structural relaxation.

It has space group P2/m (No. 10), with a = 7.7877 Å, b = 4.4595 Å, c = 8.0176 Å, α = 90.00°, β = 108.65° and γ = 90.00°. The distinct sites, in fractional coordinates, are Na at (0.0000, 0.0000, 0.0000), Na at (0.5000, 0.5000, 0.0000), Y at (0.0000, 0.5000, 0.5000), Bi at (0.5000, 0.0000, 0.5000), Te at (0.2404, 0.0000, 0.7321) and Te at (0.2502, 0.5000, 0.2645).

The formation energy (no corrections) is -0.93 eV per atom. The calculation puts the volume at 263.8 Å³/cell.

***

DFT (PBE-GGA) results for NaZnBiTe3 after structural relaxation.

It has space group P2_1/m (No. 11), with a = 9.3095 Å, b = 4.3915 Å, c = 10.0971 Å, α = 90.00°, β = 102.66° and γ = 90.00°. The distinct sites, in fractional coordinates, are Na at (0.1852, 0.2500, 0.2269), Zn at (0.0819, 0.2500, 0.5967), Bi at (0.3337, 0.7500, 0.8590), Te at (0.0941, 0.2500, 0.8636), Te at (0.2176, 0.7500, 0.5182) and Te at (0.4275, 0.7500, 0.1658).

The formation energy (no corrections) is -0.47 eV per atom. The calculation puts the volume at 402.8 Å³/cell.

***

DFT (PBE-GGA) results for Na2Zr2BiTe6 after structural relaxation.

It has space group C2/m (No. 12), with a = 7.4227 Å, b = 12.7165 Å, c = 8.0191 Å, α = 90.00°, β = 104.46° and γ = 90.00°. The distinct sites, in fractional coordinates, are Na at (0.0000, 0.1674, 0.0000), Zr at (0.0000, 0.3514, 0.5000), Bi at (0.0000, 0.0000, 0.5000), Te at (0.2227, 0.5000, 0.7429) and Te at (0.2355, 0.1794, 0.7140).

The formation energy (no corrections) is -0.73 eV per atom. The value obtained for the density of states at the Fermi level is 0.085 states/eV/atom. The calculation puts the volume at 732.9 Å³/cell.

***

DFT (PBE-GGA) results for Na3ZrBi2Te6 after structural relaxation.

It has space group C2/m (No. 12), with a = 7.7644 Å, b = 13.4996 Å, c = 7.8861 Å, α = 90.00°, β = 109.35° and γ = 90.00°. The distinct sites, in fractional coordinates, are Na at (0.0000, 0.0000, 0.0000), Na at (0.0000, 0.3222, 0.0000), Zr at (0.0000, 0.5000, 0.5000), Bi at (0.0000, 0.1645, 0.5000), Te at (0.2328, 0.3423, 0.7268) and Te at (0.2359, 0.5000, 0.2693).

The formation energy (no corrections) is -0.63 eV per atom. The value obtained for the density of states at the Fermi level is 0.421 states/eV/atom. The calculation puts the volume at 779.9 Å³/cell.

***

DFT (PBE-GGA) results for Na2ZrBiTe4 after structural relaxation.

It has space group P2/m (No. 10), with a = 7.8359 Å, b = 4.3035 Å, c = 7.9041 Å, α = 90.00°, β = 108.01° and γ = 90.00°. The distinct sites, in fractional coordinates, are Na at (0.0000, 0.0000, 0.0000), Na at (0.5000, 0.5000, 0.0000), Zr at (0.0000, 0.5000, 0.5000), Bi at (0.5000, 0.0000, 0.5000), Te at (0.2297, 0.0000, 0.7216) and Te at (0.2391, 0.5000, 0.2704).

The formation energy (no corrections) is -0.68 eV per atom. The value obtained for the density of states at the Fermi level is 0.463 states/eV/atom. The calculation puts the volume at 253.5 Å³/cell.

***

DFT (PBE-GGA) results for NaTh2Bi3 after structural relaxation.

It has space group I4/mmm (No. 139), with a = 4.5992 Å, b = 4.5992 Å, c = 19.8298 Å, α = 90.00°, β = 90.00° and γ = 90.00°. The distinct sites, in fractional coordinates, are Na at (0.0000, 0.0000, 0.0000), Th at (0.0000, 0.0000, 0.3420), Bi at (0.0000, 0.0000, 0.1728) and Bi at (0.0000, 0.0000, 0.5000).

The formation enthalpy at 0 K is -434 meV/atom. The value obtained for the density of states at the Fermi level is 0.481 states/eV/atom. The calculation puts the volume at 419.4 Å³/cell.

***

DFT (PBE-GGA) results for NaThBi2 after structural relaxation.

It has space group R-3m (No. 166, hexagonal axes), with a = 3.6470 Å, b = 3.6470 Å, c = 31.9951 Å, α = 90.00°, β = 90.00° and γ = 120.00°. The distinct sites, in fractional coordinates, are Na at (0.0000, 0.0000, 0.0000), Th at (0.0000, 0.0000, 0.5000) and Bi at (0.0000, 0.0000, 0.2520).

As for the energy relative to the lowest polymorph listed for this composition: 11.5 kJ/mol of atoms. The formation enthalpy at 0 K is -288 meV/atom. The value obtained for the density of states at the Fermi level is 0.911 states/eV/atom. The calculation puts the volume at 368.5 Å³/cell.

***

DFT (PBE-GGA) results for NaTh3Bi4 after structural relaxation.

It has space group Cmmm (No. 65), with a = 9.2661 Å, b = 12.9833 Å, c = 4.6006 Å, α = 90.00°, β = 90.00° and γ = 90.00°. The distinct sites, in fractional coordinates, are Na at (0.0000, 0.0000, 0.0000), Th at (0.0000, 0.5000, 0.0000), Th at (0.2500, 0.2500, 0.5000), Bi at (0.0000, 0.2476, 0.0000) and Bi at (0.2485, 0.5000, 0.5000).

The formation enthalpy at 0 K is -523 meV/atom. The value obtained for the density of states at the Fermi level is 0.306 states/eV/atom. The calculation puts the volume at 553.5 Å³/cell.